(1)
# CsAlSe2

A relaxed structure of CsAlSe2 (GGA-PBE, Alexandria).

Computed properties:
E_form (uncorrected)   -1.110 eV/atom
Spin magnetization   0.00 μB/f.u.

Lattice parameters (Å, degrees): 7.0761 7.0761 7.0761 114.87 114.87 99.14
Last column: nearest neighbours and their distance in Å.
Element x y z (fractional)
Cs 0.0000 0.0000 0.0000  4 Se 3.60
Cs 0.7500 0.2500 0.5000  4 Se 3.60
Al 0.2500 0.7500 0.5000  4 Se 2.43
Al 0.5000 0.5000 0.0000  4 Se 2.43
Se 0.2460 0.1250 0.6210  2 Al 2.43
Se 0.3750 0.7540 0.8790  2 Al 2.43
Se 0.5040 0.6250 0.3790  2 Al 2.43
Se 0.8750 0.4960 0.1210  2 Al 2.43



(2)
# CsAlSe

A relaxed structure of CsAlSe (GGA-PBE, Alexandria).

Computed properties:
E_form (uncorrected)   -0.350 eV/atom
Spin magnetization   0.00 μB/f.u.

Lattice parameters (Å, degrees): 5.2956 5.2956 7.5132 90.00 90.00 90.00
Last column: nearest neighbours and their distance in Å.
Element x y z (fractional)
Cs 0.2500 0.2500 0.1456  6 Se 3.71-4.08, 4 Al 3.75
Cs 0.7500 0.7500 0.8544  6 Se 3.71-4.08, 4 Al 3.75
Al 0.2500 0.7500 0.5000  4 Se 2.85
Al 0.7500 0.2500 0.5000  4 Se 2.85
Se 0.2500 0.2500 0.6400  4 Al 2.85
Se 0.7500 0.7500 0.3600  4 Al 2.85



(3)
# CsAlSe2

A relaxed structure of CsAlSe2 (GGA-PBE, Alexandria).

Computed properties:
E_form (uncorrected)   -0.863 eV/atom
Spin magnetization   0.00 μB/f.u.

Lattice parameters (Å, degrees): 11.4444 11.4444 5.2883 90.00 90.00 152.76
Last column: nearest neighbours and their distance in Å.
Element x y z (fractional)
Cs 0.1693 0.8307 0.7500  7 Se 3.71-3.85
Cs 0.8307 0.1693 0.2500  7 Se 3.71-3.85
Al 0.4387 0.5613 0.7500  2 Se 2.29-2.38
Al 0.5613 0.4387 0.2500  2 Se 2.29-2.38
Se 0.3358 0.6642 0.7500  1 Al 2.29
Se 0.4545 0.5455 0.2500  1 Al 2.38
Se 0.5455 0.4545 0.7500  1 Al 2.38
Se 0.6642 0.3358 0.2500  1 Al 2.29



Which formula does entry 3 have? CsAlSe2



Which formula does entry 1 have? CsAlSe2